Arrangement one

Compound: P2IrCl
Source: Alexandria
Functional: PBE-GGA
Structure: optimized geometry

The value obtained for the magnetic moment is 0.00 μB/f.u.

The space group is Fm-3m (No. 225) and the conventional cell measures 6.193, 6.193 and 6.193 Å, with angles of 90.00, 90.00 and 90.00 degrees. Symmetry generates all atoms from P at (0.250, 0.250, 0.250), Ir at (0.000, 0.000, 0.000) and Cl at (0.000, 0.000, 0.500).

***

Arrangement two

Compound: P2IrCl
Source: Alexandria
Functional: PBE-GGA
Structure: optimized geometry

The value obtained for the magnetic moment is 0.00 μB/f.u.

The space group is I4/mmm (No. 139) and the conventional cell measures 4.900, 4.900 and 5.160 Å, with angles of 90.00, 90.00 and 90.00 degrees. Symmetry generates all atoms from P at (0.000, 0.500, 0.000), Ir at (0.000, 0.000, 0.000) and Cl at (0.000, 0.000, 0.500).

***

The structure with the greatest stability is arrangement two.

***

Arrangement one

Compound: P2IrCl
Source: Alexandria
Functional: PBE-GGA
Structure: optimized geometry

The value obtained for the magnetic moment is 0.00 μB/f.u.

The space group is P4/mmm (No. 123) and the conventional cell measures 3.583, 3.583 and 4.836 Å, with angles of 90.00, 90.00 and 90.00 degrees. Symmetry generates all atoms from P at (0.000, 0.500, 0.000), Ir at (0.000, 0.000, 0.500) and Cl at (0.500, 0.500, 0.500).

***

Arrangement two

Compound: P2IrCl
Source: Alexandria
Functional: PBE-GGA
Structure: optimized geometry

The value obtained for the magnetic moment is 0.00 μB/f.u.

The space group is Cm (No. 8) and the conventional cell measures 7.975, 3.306 and 6.613 Å, with angles of 90.00, 102.45 and 90.00 degrees. Symmetry generates all atoms from P at (0.000, 0.000, 0.000), P at (0.224, 0.000, 0.238), Ir at (0.201, 0.500, 0.954) and Cl at (0.121, 0.500, 0.589).

***

Arrangement three

Compound: P2IrCl
Source: Alexandria
Functional: PBE-GGA
Structure: optimized geometry

The value obtained for the magnetic moment is 0.00 μB/f.u.

The space group is C2/m (No. 12) and the conventional cell measures 6.797, 3.629 and 7.016 Å, with angles of 90.00, 109.57 and 90.00 degrees. Symmetry generates all atoms from P at (0.132, 0.000, 0.355), Ir at (0.000, 0.500, 0.500) and Cl at (0.000, 0.000, 0.000).

***

The structure with the greatest stability is arrangement three.

***

Arrangement one

Compound: P2IrCl
Source: Alexandria
Functional: PBE-GGA
Structure: optimized geometry

The value obtained for the magnetic moment is 0.00 μB/f.u.

The space group is Immm (No. 71) and the conventional cell measures 2.857, 4.553 and 10.329 Å, with angles of 90.00, 90.00 and 90.00 degrees. Symmetry generates all atoms from P at (0.000, 0.000, 0.195), Ir at (0.000, 0.500, 0.500) and Cl at (0.000, 0.500, 0.000).

***

Arrangement two

Compound: P2IrCl
Source: Alexandria
Functional: PBE-GGA
Structure: optimized geometry

The value obtained for the magnetic moment is 0.00 μB/f.u.

The space group is P4/mmm (No. 123) and the conventional cell measures 4.619, 4.619 and 2.820 Å, with angles of 90.00, 90.00 and 90.00 degrees. Symmetry generates all atoms from P at (0.000, 0.500, 0.000), Ir at (0.000, 0.000, 0.500) and Cl at (0.500, 0.500, 0.500).

***

The structure with the greatest stability is arrangement one.